Record 1
An optimized crystal structure of CsTlF2, computed with GGA-PBE.

Cell lengths 3.562, 3.562, 7.160 Å; angles 90.00, 90.00, 90.00 degrees
Atoms (fractional coordinates):
Cs 0.500 0.500 0.500
Tl 0.500 0.500 0.000
F 0.000 0.000 0.241
F 0.000 0.000 0.759

Output
* total magnetization: 0.0 Bohr magnetons per cell
* total energy: -3.80 eV per atom
* formation energy from raw total energies: -796 kJ/mol of formula units
* excess energy over the best structure of this formula in the dataset: 0.141 eV per atom


Record 2
An optimized crystal structure of CsTl3F, computed with GGA-PBE.

Cell lengths 7.005, 7.005, 7.005 Å; angles 90.00, 90.00, 90.00 degrees
Atoms (fractional coordinates):
Tl 0.500 0.000 0.000
Tl 0.000 0.000 0.500
Tl 0.000 0.500 0.000
F 0.500 0.500 0.500
Cs 0.000 0.000 0.000

Output
* total magnetization: 0.0 Bohr magnetons per cell
* total energy: -1.56 eV per atom
* formation energy from raw total energies: 194 kJ/mol of formula units
* excess energy over the best structure of this formula in the dataset: 0.963 eV per atom


Record 3
An optimized crystal structure of CsTlF2, computed with GGA-PBE.

Cell lengths 5.056, 5.056, 5.056 Å; angles 60.00, 60.00, 60.00 degrees
Atoms (fractional coordinates):
Tl 0.500 0.500 0.500
Cs 0.000 0.000 0.000
F 0.250 0.250 0.250
F 0.750 0.750 0.750

Output
* total magnetization: 0.0 Bohr magnetons per cell
* total energy: -3.79 eV per atom
* formation energy from raw total energies: -792 kJ/mol of formula units
* excess energy over the best structure of this formula in the dataset: 0.150 eV per atom


Record 4
An optimized crystal structure of CsTl3F, computed with GGA-PBE.

Cell lengths 5.622, 5.622, 5.622 Å; angles 90.00, 90.00, 90.00 degrees
Atoms (fractional coordinates):
F 0.000 0.000 0.000
Tl 0.500 0.000 0.000
Tl 0.000 0.500 0.000
Tl 0.000 0.000 0.500
Cs 0.500 0.500 0.500

Output
* total magnetization: 0.0 Bohr magnetons per cell
* total energy: -2.53 eV per atom
* formation energy from raw total energies: -270 kJ/mol of formula units
* excess energy over the best structure of this formula in the dataset: 0.000 eV per atom